# 1
Computed, not measured: a relaxed structure of MgZnReNi2 at the PBE level of DFT.

Cell lengths 4.523, 4.819, 4.523 Å; angles 90.00, 90.00, 90.00 degrees
Fractional coordinates of all 5 atoms:
Ni  0.000  0.000  0.500
Re  0.000  0.000  0.000
Zn  0.000  0.500  0.000
Ni  0.500  0.000  0.000
Mg  0.500  0.500  0.500

Summary:
Energy relative to the elements = 0.944 eV per atom

=====

# 2
Computed, not measured: a relaxed structure of NaMnCu3Se4 at the PBE level of DFT.

Cell lengths 5.869, 5.869, 5.869 Å; angles 90.00, 90.00, 90.00 degrees
Fractional coordinates of all 9 atoms:
Na  0.500  0.500  0.500
Se  0.769  0.769  0.231
Cu  0.000  0.000  0.500
Mn  0.000  0.000  0.000
Se  0.231  0.231  0.231
Cu  0.500  0.000  0.000
Se  0.231  0.769  0.769
Cu  0.000  0.500  0.000
Se  0.769  0.231  0.769

Summary:
Formation energy from raw total energies = -3.49 eV per formula unit

=====

# 3
Computed, not measured: a relaxed structure of TlNiP2Pd at the PBE level of DFT.

Cell lengths 4.274, 5.185, 4.274 Å; angles 90.00, 90.00, 90.00 degrees
Fractional coordinates of all 5 atoms:
P  0.500  0.000  0.000
Pd  0.000  0.500  0.000
Ni  0.000  0.000  0.000
P  0.000  0.000  0.500
Tl  0.500  0.500  0.500

Summary:
Energy relative to the elements = 0.286 eV per atom

=====

# 4
Computed, not measured: a relaxed structure of BaMgCd2F8 at the PBE level of DFT.

Cell lengths 4.943, 5.305, 7.335 Å; angles 89.99, 89.99, 88.37 degrees
Fractional coordinates of all 12 atoms:
F  0.840  0.218  0.201
Mg  0.000  0.000  0.000
Cd  0.500  0.500  0.228
F  0.160  0.782  0.799
F  0.581  0.725  0.500
F  0.840  0.218  0.799
F  0.312  0.261  0.000
Cd  0.500  0.500  0.772
Ba  0.000  0.000  0.500
F  0.688  0.739  0.000
F  0.160  0.782  0.201
F  0.419  0.275  0.500

Summary:
Formation energy from raw total energies = -34.67 eV per formula unit

=====

# 5
Computed, not measured: a relaxed structure of SrLaRh3 at the PBE level of DFT.

Cell lengths 4.964, 4.964, 4.964 Å; angles 90.00, 90.00, 90.00 degrees
Fractional coordinates of all 5 atoms:
Sr  0.000  0.000  0.000
Rh  0.000  0.000  0.500
Rh  0.000  0.500  0.000
Rh  0.500  0.000  0.000
La  0.500  0.500  0.500

Summary:
Energy relative to the elements = 0.778 eV per atom

=====

# 6
Computed, not measured: a relaxed structure of TbNdSnPd at the PBE level of DFT.

Cell lengths 5.257, 5.257, 5.257 Å; angles 60.00, 60.00, 60.00 degrees
Fractional coordinates of all 4 atoms:
Tb  0.000  0.000  0.000
Sn  0.250  0.250  0.250
Nd  0.500  0.500  0.500
Pd  0.750  0.750  0.750

Summary:
Energy relative to the elements = -0.701 eV per atom